## i
Entry from Alexandria via LeMat-Bulk: a relaxed structure of SrTi2W (PBE).

The structure in POSCAR format:
```
SrTi2W
1.0
0.0000 3.4194 3.4194
3.4194 0.0000 3.4194
3.4194 3.4194 0.0000
Sr W Ti
1 1 2
Direct
0.0000 0.0000 0.0000
0.5000 0.5000 0.5000
0.7500 0.7500 0.7500
0.2500 0.2500 0.2500
```


## ii
Entry from Alexandria via LeMat-Bulk: a relaxed structure of SrTi2W (PBE).

The structure in POSCAR format:
```
SrTi2W
1.0
5.1893 0.0000 0.0000
0.0000 5.1893 0.0000
2.5947 2.5947 8.5656
W Ti Sr
2 4 2
Direct
0.0000 0.0000 0.0000
0.7500 0.2500 0.5000
0.8746 0.6250 0.2500
0.8754 0.1250 0.2500
0.3750 0.1246 0.7500
0.8750 0.1254 0.7500
0.2500 0.7500 0.5000
0.5000 0.5000 0.0000
```


The structure with the most favorable energy is i; the runner-up is 0.446 eV/atom above it.


## i
Entry from Alexandria via LeMat-Bulk: a relaxed structure of SrTiW3 (PBE).

The structure in POSCAR format:
```
SrTiW3
1.0
4.7502 0.0000 0.0000
0.0000 4.7502 0.0000
0.0000 0.0000 4.7502
W Sr Ti
3 1 1
Direct
0.0000 0.5000 0.0000
0.5000 0.0000 0.0000
0.0000 0.0000 0.5000
0.0000 0.0000 0.0000
0.5000 0.5000 0.5000
```


## ii
Entry from Alexandria via LeMat-Bulk: a relaxed structure of SrTiW3 (PBE).

The structure in POSCAR format:
```
SrTiW3
1.0
-0.7609 -3.4116 -3.2677
4.3125 -1.8529 0.9304
-1.9287 -2.7971 3.3694
Ti W Sr
1 3 1
Direct
0.0000 0.0000 0.0000
0.5000 0.0000 0.0000
0.0000 0.0000 0.5000
0.0000 0.5000 0.0000
0.5000 0.5000 0.5000
```


The structure with the most favorable energy is ii; the runner-up is 1.705 eV/atom above it.